Record 1
Below is a PBEsol-optimized structure of MnAgRu, with properties calculated at the SCAN level.

a b c (Å): 2.7130 2.7130 11.1303
angles (deg): 90.00 90.00 90.00
Space group I4mm (No. 107)
Asymmetric unit:
Mn  0.0000  0.0000  0.0000 (multiplicity 2)
Ag  0.0000  0.0000  0.3196 (multiplicity 2)
Ru  0.0000  0.0000  0.6263 (multiplicity 2)

Results
**DFT formation energy**: 421 meV per atom
**E above lowest polymorph**: 0.0 meV per atom
**DOS(E_F)**: 5.19 states/eV per cell
**DFT total energy**: -2.0380 Ry per atom
**Magnetic moment**: 0.01 μB/f.u.

Record 2
Below is a PBEsol-optimized structure of Li2MnVP2O8, with properties calculated at the SCAN level.

a b c (Å): 4.6908 6.0236 10.3104
angles (deg): 90.00 90.17 90.00
Space group P2_1/m (No. 11)
Asymmetric unit:
Li  0.0000  0.0000  0.0000 (multiplicity 2)
Li  0.5000  0.0000  0.5000 (multiplicity 2)
Mn  0.0198  0.2500  0.7234 (multiplicity 2)
V  0.4799  0.2500  0.2241 (multiplicity 2)
P  0.0854  0.7500  0.5947 (multiplicity 2)
P  0.4190  0.7500  0.0886 (multiplicity 2)
O  0.2074  0.7500  0.4553 (multiplicity 2)
O  0.2236  0.5458  0.6655 (multiplicity 4)
O  0.2414  0.2500  0.4031 (multiplicity 2)
O  0.2546  0.2500  0.9072 (multiplicity 2)
O  0.2833  0.5459  0.1599 (multiplicity 4)
O  0.2924  0.7500  0.9495 (multiplicity 2)

Results
**Raw formation energy**: -2524 meV per atom
**DOS(E_F)**: 0.00 states/eV per cell
**DFT total energy**: -0.7691 Ry per atom
**Magnetic moment**: 8.00 μB/f.u.

Record 3
Below is a PBEsol-optimized structure of Mg2ZnPb, with properties calculated at the SCAN level.

a b c (Å): 3.2612 3.2612 8.0545
angles (deg): 90.00 90.00 90.00
Space group P4/mmm (No. 123)
Asymmetric unit:
Mg  0.0000  0.0000  0.2060 (multiplicity 2)
Zn  0.5000  0.5000  0.0000 (multiplicity 1)
Pb  0.5000  0.5000  0.5000 (multiplicity 1)

Results
**DFT formation energy**: -119 meV per atom
**DOS(E_F)**: 1.48 states/eV per cell
**DFT total energy**: -1.8323 Ry per atom
**Magnetic moment**: 0.00 μB/f.u.

Record 4
Below is a PBEsol-optimized structure of Cs2LiAs, with properties calculated at the SCAN level.

a b c (Å): 8.4169 8.4169 8.4169
angles (deg): 90.00 90.00 90.00
Space group Fm-3m (No. 225)
Asymmetric unit:
Cs  0.2500  0.2500  0.2500 (multiplicity 8)
Li  0.0000  0.0000  0.0000 (multiplicity 4)
As  0.0000  0.0000  0.5000 (multiplicity 4)

Results
**DFT formation energy**: -23 meV per atom
**DOS(E_F)**: 6.49 states/eV per cell
**DFT total energy**: -1.8061 Ry per atom
**Magnetic moment**: 0.00 μB/f.u.

Record 5
Below is a PBEsol-optimized structure of ScCdBr2, with properties calculated at the SCAN level.

a b c (Å): 3.5565 3.5565 29.2023
angles (deg): 90.00 90.00 120.00
Space group R-3m (No. 166, hexagonal axes)
Asymmetric unit:
Sc  0.0000  0.0000  0.0000 (multiplicity 3)
Cd  0.0000  0.0000  0.5000 (multiplicity 3)
Br  0.0000  0.0000  0.2742 (multiplicity 6)

Results
**Raw formation energy**: -1078 meV per atom
**E above lowest polymorph**: 0.0 meV per atom
**DOS(E_F)**: 6.02 states/eV per cell
**DFT total energy**: -1.6148 Ry per atom
**Magnetic moment**: 0.00 μB/f.u.

Record 6
Below is a PBEsol-optimized structure of Tc2Ag3, with properties calculated at the SCAN level.

a b c (Å): 2.7194 2.7194 35.7932
angles (deg): 90.00 90.00 120.00
Space group R-3m (No. 166, hexagonal axes)
Asymmetric unit:
Tc  0.0000  0.0000  0.1003 (multiplicity 6)
Ag  0.0000  0.0000  0.2993 (multiplicity 6)
Ag  0.0000  0.0000  0.5000 (multiplicity 3)

Results
**DFT formation energy**: 476 meV per atom
**DOS(E_F)**: 11.35 states/eV per cell
**DFT total energy**: -2.3790 Ry per atom
**Magnetic moment**: 0.00 μB/f.u.

Record 7
Below is a PBEsol-optimized structure of AlSbAs, with properties calculated at the SCAN level.

a b c (Å): 6.5178 6.5178 6.5178
angles (deg): 90.00 90.00 90.00
Space group F-43m (No. 216)
Asymmetric unit:
Al  0.0000  0.0000  0.0000 (multiplicity 4)
Sb  0.2500  0.2500  0.7500 (multiplicity 4)
As  0.2500  0.2500  0.2500 (multiplicity 4)

Results
**Raw formation energy**: 200 meV per atom
**DOS(E_F)**: 8.60 states/eV per cell
**DFT total energy**: -1.5827 Ry per atom
**Magnetic moment**: 0.00 μB/f.u.

Record 8
Below is a PBEsol-optimized structure of MnZn3Pd, with properties calculated at the SCAN level.

a b c (Å): 4.4913 4.4913 4.4913
angles (deg): 90.00 90.00 90.00
Space group Pm-3m (No. 221)
Asymmetric unit:
Mn  0.0000  0.0000  0.0000 (multiplicity 1)
Zn  0.0000  0.0000  0.5000 (multiplicity 3)
Pd  0.5000  0.5000  0.5000 (multiplicity 1)

Results
**DFT formation energy**: 731 meV per atom
**DOS(E_F)**: 2.59 states/eV per cell
**DFT total energy**: -1.2924 Ry per atom
**Magnetic moment**: 2.95 μB/f.u.

Among the records above, which one has the lowest DOS(E_F)? Li2MnVP2O8

Look up the DOS(E_F) of the fifth one. 6.02 states/eV per cell